# 1
Density functional theory data (PBEsol) for crystalline Tb5Pb4 at its relaxed geometry.

Unit cell a=8.090 b=15.436 c=8.180 alpha=90.00 beta=90.00 gamma=90.00
Positions (direct):
Tb 0.031 0.099 0.177
Tb 0.031 0.401 0.177
Tb 0.126 0.621 0.342
Tb 0.126 0.879 0.342
Tb 0.206 0.250 0.504
Tb 0.294 0.750 0.004
Tb 0.374 0.121 0.842
Tb 0.374 0.379 0.842
Tb 0.469 0.599 0.677
Tb 0.469 0.901 0.677
Tb 0.531 0.099 0.323
Tb 0.531 0.401 0.323
Tb 0.626 0.621 0.158
Tb 0.626 0.879 0.158
Tb 0.706 0.250 0.996
Tb 0.794 0.750 0.496
Tb 0.874 0.121 0.658
Tb 0.874 0.379 0.658
Tb 0.969 0.599 0.823
Tb 0.969 0.901 0.823
Pb 0.069 0.250 0.877
Pb 0.158 0.750 0.652
Pb 0.216 0.043 0.535
Pb 0.216 0.457 0.535
Pb 0.284 0.543 0.035
Pb 0.284 0.957 0.035
Pb 0.342 0.250 0.152
Pb 0.431 0.750 0.377
Pb 0.569 0.250 0.623
Pb 0.658 0.750 0.848
Pb 0.716 0.043 0.965
Pb 0.716 0.457 0.965
Pb 0.784 0.543 0.465
Pb 0.784 0.957 0.465
Pb 0.842 0.250 0.348
Pb 0.931 0.750 0.123

Volume   28.37 A^3/atom
E_tot   -5.159 eV per atom
ΔH_f (0 K)   -0.598 eV per atom


# 2
Density functional theory data (PBEsol) for crystalline Tb3Pb at its relaxed geometry.

Unit cell a=6.043 b=6.043 c=6.043 alpha=134.61 beta=134.61 gamma=66.13
Positions (direct):
Tb 0.000 0.000 0.000
Tb 0.250 0.750 0.500
Tb 0.750 0.250 0.500
Pb 0.500 0.500 0.000

Volume   27.53 A^3/atom
E_tot   -5.071 eV per atom
ΔH_f (0 K)   -0.314 eV per atom


# 3
Density functional theory data (PBEsol) for crystalline Tb5Pb3 at its relaxed geometry.

Unit cell a=8.965 b=8.965 c=6.545 alpha=90.00 beta=90.00 gamma=120.00
Positions (direct):
Tb 0.000 0.237 0.250
Tb 0.000 0.763 0.750
Tb 0.237 0.000 0.250
Tb 0.237 0.237 0.750
Tb 0.333 0.667 0.000
Tb 0.333 0.667 0.500
Tb 0.667 0.333 0.000
Tb 0.667 0.333 0.500
Tb 0.763 0.000 0.750
Tb 0.763 0.763 0.250
Pb 0.000 0.395 0.750
Pb 0.000 0.605 0.250
Pb 0.395 0.000 0.750
Pb 0.395 0.395 0.250
Pb 0.605 0.000 0.250
Pb 0.605 0.605 0.750

Volume   28.47 A^3/atom
E_tot   -5.220 eV per atom
ΔH_f (0 K)   -0.589 eV per atom


# 4
Density functional theory data (PBEsol) for crystalline TcPb at its relaxed geometry.

Unit cell a=3.125 b=3.125 c=4.383 alpha=90.00 beta=90.00 gamma=116.94
Positions (direct):
Tc 0.000 0.000 0.000
Pb 0.500 0.500 0.500

Volume   19.08 A^3/atom
E_tot   -6.711 eV per atom
ΔH_f (0 K)   0.922 eV per atom


# 5
Density functional theory data (PBEsol) for crystalline Tc2TePb at its relaxed geometry.

Unit cell a=4.629 b=4.629 c=3.277 alpha=90.00 beta=90.00 gamma=90.00
Positions (direct):
Tc 0.000 0.500 0.000
Tc 0.500 0.000 0.000
Te 0.000 0.000 0.500
Pb 0.500 0.500 0.500

Volume   17.55 A^3/atom
Raw formation energy   0.4985 eV/atom
Polymorph energy (0 for the lowest one)   17 kJ/mol of formula units
E_tot   -7.016 eV per atom


# 6
Density functional theory data (PBEsol) for crystalline Tc2TePb at its relaxed geometry.

Unit cell a=3.249 b=3.249 c=6.643 alpha=90.00 beta=90.00 gamma=90.00
Positions (direct):
Tc 0.000 0.000 0.233
Tc 0.000 0.000 0.767
Te 0.500 0.500 0.000
Pb 0.500 0.500 0.500

Volume   17.53 A^3/atom
Raw formation energy   0.4541 eV/atom
Polymorph energy (0 for the lowest one)   0 kJ/mol of formula units
E_tot   -7.060 eV per atom


# 7
Density functional theory data (PBEsol) for crystalline Tc2TePb at its relaxed geometry.

Unit cell a=6.380 b=6.380 c=6.380 alpha=150.30 beta=143.55 gamma=47.70
Positions (direct):
Tc 0.000 0.000 0.000
Tc 0.749 0.249 0.500
Te 0.575 0.575 0.000
Pb 0.327 0.827 0.500

Volume   19.04 A^3/atom
Raw formation energy   0.5684 eV/atom
Polymorph energy (0 for the lowest one)   44 kJ/mol of formula units
E_tot   -6.946 eV per atom


# 8
Density functional theory data (PBEsol) for crystalline TcTePb at its relaxed geometry.

Unit cell a=6.915 b=6.915 c=6.915 alpha=152.95 beta=152.95 gamma=38.63
Positions (direct):
Tc 0.000 0.000 0.000
Te 0.393 0.393 0.000
Pb 0.654 0.654 0.000

Volume   22.75 A^3/atom
Raw formation energy   0.1309 eV/atom
E_tot   -6.133 eV per atom


# 9
Density functional theory data (PBEsol) for crystalline TcTe2Pb at its relaxed geometry.

Unit cell a=3.579 b=4.878 c=5.388 alpha=90.00 beta=90.00 gamma=90.00
Positions (direct):
Tc 0.000 0.000 0.000
Te 0.000 0.500 0.500
Te 0.500 0.500 0.000
Pb 0.500 0.000 0.500

Volume   23.51 A^3/atom
Raw formation energy   0.7563 eV/atom
E_tot   -4.823 eV per atom


# 10
Density functional theory data (PBEsol) for crystalline TcTe2Pb at its relaxed geometry.

Unit cell a=3.236 b=3.236 c=8.935 alpha=90.00 beta=90.00 gamma=90.00
Positions (direct):
Tc 0.000 0.000 0.000
Te 0.500 0.500 0.184
Te 0.500 0.500 0.816
Pb 0.000 0.000 0.500

Volume   23.39 A^3/atom
Raw formation energy   0.0943 eV/atom
E_tot   -5.485 eV per atom


# 11
Density functional theory data (PBEsol) for crystalline ZrTc2TePb at its relaxed geometry.

Unit cell a=4.941 b=4.941 c=5.332 alpha=90.00 beta=90.00 gamma=90.00
Positions (direct):
Zr 0.000 0.000 0.000
Tc 0.000 0.500 0.500
Tc 0.500 0.000 0.500
Te 0.500 0.500 0.000
Pb 0.000 0.000 0.500

Volume   26.04 A^3/atom
Raw formation energy   1.8683 eV/atom
E_tot   -5.961 eV per atom


# 12
Density functional theory data (PBEsol) for crystalline TiTcPb3 at its relaxed geometry.

Unit cell a=5.222 b=5.222 c=5.222 alpha=90.00 beta=90.00 gamma=90.00
Positions (direct):
Ti 0.000 0.000 0.000
Tc 0.500 0.500 0.500
Pb 0.000 0.500 0.500
Pb 0.500 0.000 0.500
Pb 0.500 0.500 0.000

Volume   28.48 A^3/atom
E_tot   -5.350 eV per atom
ΔH_f (0 K)   0.967 eV per atom


# 13
Density functional theory data (PBEsol) for crystalline TlTc2Pb at its relaxed geometry.

Unit cell a=3.179 b=4.492 c=5.194 alpha=90.00 beta=90.00 gamma=90.00
Positions (direct):
Tl 0.000 0.000 0.000
Tc 0.000 0.500 0.500
Tc 0.500 0.500 0.000
Pb 0.500 0.000 0.500

Volume   18.54 A^3/atom
Polymorph energy (0 for the lowest one)   234 kJ/mol of formula units
E_tot   -6.373 eV per atom
ΔH_f (0 K)   0.918 eV per atom


# 14
Density functional theory data (PBEsol) for crystalline TlTc2Pb at its relaxed geometry.

Unit cell a=5.207 b=5.207 c=6.003 alpha=118.45 beta=118.45 gamma=35.07
Positions (direct):
Tl 0.000 0.000 0.000
Tc 0.401 0.401 0.469
Tc 0.770 0.770 0.134
Pb 0.177 0.177 0.625

Volume   20.25 A^3/atom
Polymorph energy (0 for the lowest one)   130 kJ/mol of formula units
E_tot   -6.643 eV per atom
ΔH_f (0 K)   0.648 eV per atom